i.
VASP calculation (PBE-GGA) on crystalline NaCd3Tc at its relaxed geometry.

extended XYZ file:
```
5
Lattice="5.102 0.000 0.000 0.000 5.102 0.000 0.000 0.000 5.102" Properties=species:S:1:pos:R:3 pbc="T T T"
Na 0.000 0.000 0.000
Tc 2.551 2.551 2.551
Cd 0.000 2.551 0.000
Cd 0.000 0.000 2.551
Cd 2.551 0.000 0.000
```

ii.
VASP calculation (PBE-GGA) on crystalline NaCd3Tc at its relaxed geometry.

extended XYZ file:
```
5
Lattice="5.299 0.000 0.000 0.000 5.299 0.000 0.000 0.000 5.299" Properties=species:S:1:pos:R:3 pbc="T T T"
Na 2.650 2.650 2.650
Tc 0.000 0.000 0.000
Cd 0.000 2.650 0.000
Cd 0.000 0.000 2.650
Cd 2.650 0.000 0.000
```

Which structure loses on stability? i does.